Record 1
{"formula": "Ba2Zn4SiGe3", "functional": "GGA-PBE", "state": "optimized geometry", "lattice_angstrom": [[4.4870, 0.0000, 0.0000], [0.0000, 4.4870, 0.0000], [0.0000, 0.0000, 10.8876]], "species": ["Ba", "Ba", "Zn", "Zn", "Zn", "Zn", "Si", "Ge", "Ge", "Ge"], "fractional_positions": [[0.0000, 0.5000, 0.2490], [0.5000, 0.0000, 0.7510], [0.0000, 0.0000, 0.0000], [0.0000, 0.5000, 0.6271], [0.5000, 0.0000, 0.3729], [0.5000, 0.5000, 0.0000], [0.0000, 0.0000, 0.5000], [0.0000, 0.5000, 0.8689], [0.5000, 0.0000, 0.1311], [0.5000, 0.5000, 0.5000]], "dos_at_fermi_per_ev_atom": 0.1542, "formation_energy_uncorrected_ev_per_fu": -3.44, "vol_a3_per_cell": 219.2, "total_magnetization_mub_per_fu": 0.00}


Record 2
{"formula": "ScHRu2", "functional": "GGA-PBE", "state": "optimized geometry", "lattice_angstrom": [[0.0000, 2.9978, 2.9978], [2.9978, 0.0000, 2.9978], [2.9978, 2.9978, 0.0000]], "species": ["Sc", "H", "Ru", "Ru"], "fractional_positions": [[0.0000, 0.0000, 0.0000], [0.5000, 0.5000, 0.5000], [0.2500, 0.2500, 0.2500], [0.7500, 0.7500, 0.7500]], "dos_at_fermi_per_ev_atom": 1.3197, "de_polymorph_mev_per_atom": 646, "vol_a3_per_cell": 53.9, "total_magnetization_mub_per_fu": 0.00}